[1]
## KTlHgAs (PBE-GGA)

Data for a relaxed structure of KTlHgAs.

```
KTlHgAs
1.0
7.6680 0.0000 0.0000
0.0000 7.6680 0.0000
0.0000 0.0000 7.6680
K Tl Hg As
4 4 4 4
direct
0.0000 0.0000 0.0000
0.0000 0.5000 0.5000
0.5000 0.0000 0.5000
0.5000 0.5000 0.0000
0.2500 0.2500 0.7500
0.2500 0.7500 0.2500
0.7500 0.2500 0.2500
0.7500 0.7500 0.7500
0.2500 0.2500 0.2500
0.2500 0.7500 0.7500
0.7500 0.2500 0.7500
0.7500 0.7500 0.2500
0.0000 0.0000 0.5000
0.0000 0.5000 0.0000
0.5000 0.0000 0.0000
0.5000 0.5000 0.5000
```

Calculated values
SG	No. 216
magnetic moment	0.000	μB/f.u.
density	7.646	Mg/m³
uncorrected energy	-8.6	eV/f.u.

---

[2]
## KHgAs2W (PBE-GGA)

Data for a relaxed structure of KHgAs2W.

```
KHgAs2W
1.0
5.2628 0.0000 0.0000
0.0000 5.2628 0.0000
0.0000 0.0000 5.5054
K Hg As W
1 1 2 1
direct
0.0000 0.0000 0.0000
0.0000 0.0000 0.5000
0.0000 0.5000 0.5000
0.5000 0.0000 0.5000
0.5000 0.5000 0.0000
```

Calculated values
SG	No. 123
magnetic moment	4.029	μB/f.u.
density	6.244	Mg/m³
uncorrected energy	-15.4	eV/f.u.

---

[3]
## LaHg2As2 (PBE-GGA)

Data for a relaxed structure of LaHg2As2.

```
LaHg2As2
1.0
4.1583 0.0000 0.0000
0.0000 4.1583 0.0000
0.0000 0.0000 16.1518
La Hg As
2 4 4
direct
0.0000 0.0000 0.0000
0.5000 0.5000 0.5000
0.0000 0.5000 0.2500
0.0000 0.5000 0.7500
0.5000 0.0000 0.2500
0.5000 0.0000 0.7500
0.0000 0.0000 0.4238
0.0000 0.0000 0.5762
0.5000 0.5000 0.0762
0.5000 0.5000 0.9238
```

Calculated values
SG	No. 139
magnetic moment	0.000	μB/f.u.
density	8.204	Mg/m³
ΔE to the lowest computed polymorph	0.0000	eV per atom
uncorrected energy	-17.2	eV/f.u.

---

| no. | energy of formation (meV per atom) |
| --- | --- |
| 1 | -59 |
| 2 | 1644 |
| 3 | -477 |